Entry 1:
# ScHg2

ScHg2 after structural relaxation (PBE-GGA, OQMD via LeMat-Bulk).

For the energy relative to the elements, the calculation gives -0.04 eV/atom. The calculation puts the total DFT energy (no corrections) at -2.344 eV/atom.

The space group is Fd-3m (No. 227, origin choice 2) and the conventional cell measures 8.1358, 8.1358 and 8.1358 Å, with angles of 90.00, 90.00 and 90.00 degrees. The inequivalent atoms are Sc at (0.1250, 0.1250, 0.1250) and Hg at (0.0000, 0.0000, 0.5000).

Entry 2:
# Li2NbPSe4

Li2NbPSe4 after structural relaxation (PBE-GGA, OQMD via LeMat-Bulk).

The calculation puts the total DFT energy (no corrections) at -4.797 eV/atom.

The space group is P-6m2 (No. 187) and the conventional cell measures 3.5595, 3.5595 and 13.6041 Å, with angles of 90.00, 90.00 and 120.00 degrees. The inequivalent atoms are Li at (0.0000, 0.0000, 0.2471), Nb at (0.0000, 0.0000, 0.0000), P at (0.0000, 0.0000, 0.5000), Se at (0.3333, 0.6667, 0.1219) and Se at (0.6667, 0.3333, 0.3777).

Entry 3:
# ScAl2Zn

ScAl2Zn after structural relaxation (PBE-GGA, OQMD via LeMat-Bulk).

The calculation puts the total DFT energy (no corrections) at -3.924 eV/atom.

The space group is F-43m (No. 216) and the conventional cell measures 6.5311, 6.5311 and 6.5311 Å, with angles of 90.00, 90.00 and 90.00 degrees. The inequivalent atoms are Sc at (0.0000, 0.0000, 0.0000), Al at (0.0000, 0.0000, 0.5000), Al at (0.2500, 0.2500, 0.7500) and Zn at (0.2500, 0.2500, 0.2500).

Entry 4:
# Y2Hf4As3N3

Y2Hf4As3N3 after structural relaxation (PBE-GGA, OQMD via LeMat-Bulk).

The calculation puts the total DFT energy (no corrections) at -8.927 eV/atom.

The space group is C2/c (No. 15) and the conventional cell measures 10.4401, 6.0248 and 13.0069 Å, with angles of 90.00, 105.46 and 90.00 degrees. The inequivalent atoms are Y at (0.0460, 0.0811, 0.3953), Hf at (0.1157, 0.4136, 0.5950), Hf at (0.2196, 0.4189, 0.9049), As at (0.0000, 0.4370, 0.2500), As at (0.1777, 0.0936, 0.7517), N at (0.0887, 0.2659, 0.0000) and N at (0.2500, 0.2500, 0.5000).

Entry 5:
# SrPrCuSi3

SrPrCuSi3 after structural relaxation (PBE-GGA, OQMD via LeMat-Bulk).

Its energy above the lowest structure with this stoichiometry is 12 meV per atom. The calculation puts the total DFT energy (no corrections) at -4.987 eV/atom.

The space group is Fmmm (No. 69) and the conventional cell measures 8.2076, 8.9495 and 14.1299 Å, with angles of 90.00, 90.00 and 90.00 degrees. The inequivalent atoms are Sr at (0.0000, 0.2461, 0.0000), Pr at (0.2500, 0.2500, 0.2500), Cu at (0.0000, 0.0000, 0.3338), Si at (0.0000, 0.0000, 0.1706) and Si at (0.2472, 0.0000, 0.4140).

Entry 6:
# AcMgFe

AcMgFe after structural relaxation (PBE-GGA, OQMD via LeMat-Bulk).

Its energy above the lowest structure with this stoichiometry is 658 meV per atom. The calculation puts the total DFT energy (no corrections) at -3.535 eV/atom.

The space group is F-43m (No. 216) and the conventional cell measures 7.1191, 7.1191 and 7.1191 Å, with angles of 90.00, 90.00 and 90.00 degrees. The inequivalent atoms are Ac at (0.0000, 0.0000, 0.0000), Mg at (0.2500, 0.2500, 0.2500) and Fe at (0.2500, 0.2500, 0.7500).

Entry 7:
# K2Na2HgP2

K2Na2HgP2 after structural relaxation (PBE-GGA, OQMD via LeMat-Bulk).

Its energy above the lowest structure with this stoichiometry is 17 meV per atom. The calculation puts the total DFT energy (no corrections) at -2.606 eV/atom.

The space group is R-3m (No. 166, hexagonal axes) and the conventional cell measures 5.4276, 5.4276 and 25.3767 Å, with angles of 90.00, 90.00 and 120.00 degrees. The inequivalent atoms are K at (0.0000, 0.0000, 0.0998), Na at (0.0000, 0.0000, 0.2933), Hg at (0.0000, 0.0000, 0.5000) and P at (0.0000, 0.0000, 0.4046).

Entry 8:
# MoSeS3Br

MoSeS3Br after structural relaxation (PBE-GGA, OQMD via LeMat-Bulk).

Its energy above the lowest structure with this stoichiometry is 53 meV per atom. The calculation puts the total DFT energy (no corrections) at -5.106 eV/atom.

The space group is P-1 (No. 2) and the conventional cell measures 6.2356, 7.8891 and 7.8913 Å, with angles of 112.83, 113.25 and 97.88 degrees. The inequivalent atoms are Mo at (0.2248, 0.0008, 0.0006), Se at (0.1268, 0.3104, 0.1473), S at (0.0956, 0.9166, 0.2198), S at (0.3246, 0.8005, 0.7199), S at (0.4475, 0.7597, 0.9796) and Br at (0.3415, 0.2391, 0.6018).

Entry 9:
# LiPmPO

LiPmPO after structural relaxation (PBE-GGA, OQMD via LeMat-Bulk).

Its energy above the lowest structure with this stoichiometry is 0 meV per atom. The calculation puts the total DFT energy (no corrections) at -5.987 eV/atom.

The space group is P4/nmm (No. 129, origin choice 2) and the conventional cell measures 3.9214, 3.9214 and 9.0676 Å, with angles of 90.00, 90.00 and 90.00 degrees. The inequivalent atoms are Li at (0.2500, 0.7500, 0.0000), Pm at (0.2500, 0.2500, 0.3676), P at (0.2500, 0.2500, 0.8273) and O at (0.2500, 0.7500, 0.5000).

Entry 10:
# NbF

NbF after structural relaxation (PBE-GGA, OQMD via LeMat-Bulk).

Its energy above the lowest structure with this stoichiometry is 329 meV per atom. The calculation puts the total DFT energy (no corrections) at -6.468 eV/atom.

The space group is P6_3/mmc (No. 194) and the conventional cell measures 3.6231, 3.6231 and 4.5858 Å, with angles of 90.00, 90.00 and 120.00 degrees. The inequivalent atoms are Nb at (0.3333, 0.6667, 0.2500) and F at (0.0000, 0.0000, 0.0000).

Entry 11:
# LaSmHf

LaSmHf after structural relaxation (PBE-GGA, OQMD via LeMat-Bulk).

Its energy above the lowest structure with this stoichiometry is 547 meV per atom. For the energy relative to the elements, the calculation gives 0.79 eV/atom. The calculation puts the total DFT energy (no corrections) at -5.736 eV/atom.

The space group is F-43m (No. 216) and the conventional cell measures 7.4485, 7.4485 and 7.4485 Å, with angles of 90.00, 90.00 and 90.00 degrees. The inequivalent atoms are La at (0.0000, 0.0000, 0.0000), Sm at (0.0000, 0.0000, 0.5000) and Hf at (0.2500, 0.2500, 0.2500).

Entry 12:
# Lu2CuS4

Lu2CuS4 after structural relaxation (PBE-GGA, OQMD via LeMat-Bulk).

The calculation puts the total DFT energy (no corrections) at -5.623 eV/atom.

The space group is Fd-3m (No. 227, origin choice 2) and the conventional cell measures 10.7130, 10.7130 and 10.7130 Å, with angles of 90.00, 90.00 and 90.00 degrees. The inequivalent atoms are Lu at (0.0000, 0.0000, 0.0000), Cu at (0.1250, 0.1250, 0.6250) and S at (0.0011, 0.0011, 0.2489).